No. 1
PBE BIr3Os, optimized geometry; energy of formation from the pure elements = 2.52 eV per formula unit; M_tot = 0.000 μB/atom; ΔE to the lowest computed polymorph = 0.0 meV per atom
1.0
4.0911 0.0000 0.0000
0.0000 4.0911 0.0000
0.0000 0.0000 4.0911
B Ir Os
1 3 1
Direct
0.0000 0.0000 0.0000 B
0.0000 0.0000 0.5000 Ir
0.0000 0.5000 0.0000 Ir
0.5000 0.0000 0.0000 Ir
0.5000 0.5000 0.5000 Os

---

No. 2
PBE YCrCo, optimized geometry; energy of formation from the pure elements = 1.39 eV per formula unit; M_tot = 1.226 μB/atom; ΔE to the lowest computed polymorph = 372.9 meV per atom
1.0
0.0000 3.0947 3.0947
3.0947 0.0000 3.0947
3.0947 3.0947 0.0000
Y Cr Co
1 1 1
Direct
0.0000 0.0000 0.0000 Y
0.5000 0.5000 0.5000 Cr
0.2500 0.2500 0.2500 Co

---

No. 3
PBE Dy2Zn4Ag5, optimized geometry; energy of formation from the pure elements = -1.74 eV per formula unit; M_tot = 0.000 μB/atom
1.0
-2.7542 4.2371 4.5420
2.7542 -4.2371 4.5420
2.7542 4.2371 -4.5420
Dy Zn Ag
2 4 5
Direct
0.2077 0.2077 0.0000 Dy
0.7923 0.7923 0.0000 Dy
0.0820 0.7433 0.3387 Zn
0.4046 0.7433 0.6613 Zn
0.5954 0.2567 0.3387 Zn
0.9180 0.2567 0.6613 Zn
0.0000 0.5000 0.5000 Ag
0.3185 0.2519 0.5705 Ag
0.3185 0.7481 0.0666 Ag
0.6815 0.2519 0.9334 Ag
0.6815 0.7481 0.4295 Ag

---

No. 4
PBE AlMo3I, optimized geometry; M_tot = 0.000 μB/atom; ΔE to the lowest computed polymorph = 281.0 meV per atom; formation energy (no corrections) = 975 kJ/mol of formula units
1.0
4.8449 0.0000 0.0000
0.0000 4.8449 0.0000
0.0000 0.0000 4.8449
Al Mo I
1 3 1
Direct
0.0000 0.0000 0.0000 Al
0.0000 0.5000 0.5000 Mo
0.5000 0.0000 0.5000 Mo
0.5000 0.5000 0.0000 Mo
0.5000 0.5000 0.5000 I

---

No. 5
PBE Zn2IrOs, optimized geometry; energy of formation from the pure elements = 0.05 eV per formula unit; M_tot = 0.000 μB/atom; ΔE to the lowest computed polymorph = 0.0 meV per atom
1.0
2.7457 0.0000 0.0000
0.0000 2.7457 0.0000
0.0000 0.0000 7.7566
Zn Ir Os
2 1 1
Direct
0.0000 0.0000 0.0000 Zn
0.5000 0.5000 0.2670 Zn
0.0000 0.0000 0.5183 Ir
0.5000 0.5000 0.7486 Os

---

No. 6
PBE Nd3Ge3Pt8, optimized geometry; energy of formation from the pure elements = -12.77 eV per formula unit; M_tot = 0.000 μB/atom
1.0
8.1222 -2.2179 0.0000
8.1222 2.2179 0.0000
-4.8411 0.0000 7.4828
Nd Ge Pt
3 3 8
Direct
0.0000 0.0000 0.0000 Nd
0.2933 0.2933 0.3251 Nd
0.7067 0.7067 0.6749 Nd
0.0000 0.0000 0.5000 Ge
0.3280 0.3280 0.9936 Ge
0.6720 0.6720 0.0064 Ge
0.1168 0.1168 0.3973 Pt
0.1364 0.1364 0.8441 Pt
0.3498 0.3498 0.7428 Pt
0.4950 0.4950 0.3123 Pt
0.5050 0.5050 0.6877 Pt
0.6502 0.6502 0.2572 Pt
0.8636 0.8636 0.1559 Pt
0.8832 0.8832 0.6027 Pt

---

No. 7
PBE ScTiSi2Sb, optimized geometry; M_tot = 0.021 μB/atom; formation energy (no corrections) = 429 kJ/mol of formula units
1.0
4.8621 0.0000 0.0000
0.0000 4.8621 0.0000
0.0000 0.0000 5.3241
Sc Ti Si Sb
1 1 2 1
Direct
0.0000 0.0000 0.0000 Sc
0.5000 0.5000 0.5000 Ti
0.0000 0.5000 0.0000 Si
0.5000 0.0000 0.0000 Si
0.0000 0.0000 0.5000 Sb

---

No. 8
PBE Sm3Ho5Bi8, optimized geometry; energy of formation from the pure elements = -13.87 eV per formula unit; M_tot = 0.000 μB/atom
1.0
4.4995 2.5978 7.3433
-4.4995 2.5978 7.3433
0.0000 -5.1955 7.3433
Sm Ho Bi
3 5 8
Direct
0.0000 0.5000 0.5000 Sm
0.5000 0.0000 0.5000 Sm
0.5000 0.5000 0.0000 Sm
0.0000 0.0000 0.0000 Ho
0.0000 0.0000 0.5000 Ho
0.0000 0.5000 0.0000 Ho
0.5000 0.0000 0.0000 Ho
0.5000 0.5000 0.5000 Ho
0.2456 0.7500 0.7500 Bi
0.2478 0.2478 0.2478 Bi
0.2500 0.2500 0.7544 Bi
0.2500 0.7544 0.2500 Bi
0.7500 0.2456 0.7500 Bi
0.7500 0.7500 0.2456 Bi
0.7522 0.7522 0.7522 Bi
0.7544 0.2500 0.2500 Bi

---

No. 9
PBE CdSbH2, optimized geometry; M_tot = 0.000 μB/atom; ΔE to the lowest computed polymorph = 667.1 meV per atom
1.0
0.0000 3.0519 3.0519
3.0519 0.0000 3.0519
3.0519 3.0519 0.0000
Cd Sb H
1 1 2
Direct
0.0000 0.0000 0.0000 Cd
0.5000 0.5000 0.5000 Sb
0.2500 0.2500 0.2500 H
0.7500 0.7500 0.7500 H

---

No. 10
PBE Er2Tm3ThSe6, optimized geometry; M_tot = 0.000 μB/atom; formation energy (no corrections) = -1901 kJ/mol of formula units
1.0
8.8528 -2.0142 0.0000
8.8528 2.0142 0.0000
-1.8487 0.0000 7.9674
Er Tm Th Se
2 3 1 6
Direct
0.1619 0.1619 0.3267 Er
0.8381 0.8381 0.6733 Er
0.1602 0.1602 0.8342 Tm
0.5000 0.5000 0.5000 Tm
0.8398 0.8398 0.1658 Tm
0.5000 0.5000 0.0000 Th
0.0005 0.0005 0.2657 Se
0.3254 0.3254 0.9137 Se
0.3313 0.3313 0.4151 Se
0.6687 0.6687 0.5849 Se
0.6746 0.6746 0.0863 Se
0.9995 0.9995 0.7343 Se

---

No. 11
PBE Mg6Tl3Ni, optimized geometry; energy of formation from the pure elements = -0.13 eV per formula unit; M_tot = 0.000 μB/atom
1.0
8.7554 0.0000 0.0000
0.0000 11.1996 0.0000
0.0000 0.0000 4.6815
Mg Tl Ni
12 6 2
Direct
0.0280 0.2274 0.0000 Mg
0.1476 0.0586 0.5000 Mg
0.2171 0.3978 0.5000 Mg
0.2829 0.8978 0.0000 Mg
0.3524 0.5586 0.0000 Mg
0.4720 0.7274 0.5000 Mg
0.5280 0.2726 0.5000 Mg
0.6476 0.4414 0.0000 Mg
0.7171 0.1022 0.0000 Mg
0.7829 0.6022 0.5000 Mg
0.8524 0.9414 0.5000 Mg
0.9720 0.7726 0.0000 Mg
0.0000 0.5000 0.0000 Tl
0.1481 0.6968 0.5000 Tl
0.3519 0.1968 0.0000 Tl
0.5000 0.0000 0.5000 Tl
0.6481 0.8032 0.0000 Tl
0.8519 0.3032 0.5000 Tl
0.0000 0.0000 0.0000 Ni
0.5000 0.5000 0.5000 Ni

---

No. 12
PBE LiNp3Se6, optimized geometry; M_tot = 1.000 μB/atom; formation energy (no corrections) = -1091 kJ/mol of formula units
1.0
5.5182 -6.7312 0.0000
5.5182 6.7312 0.0000
0.0000 0.0000 6.8900
Li Np Se
2 6 12
Direct
0.1905 0.8095 0.5000 Li
0.8095 0.1905 0.0000 Li
0.0764 0.2812 0.4685 Np
0.2812 0.0764 0.9685 Np
0.3956 0.6044 0.8680 Np
0.6044 0.3956 0.3680 Np
0.7188 0.9236 0.4685 Np
0.9236 0.7188 0.9685 Np
0.0237 0.9763 0.6970 Se
0.0930 0.5561 0.6965 Se
0.2301 0.7699 0.1308 Se
0.3035 0.3722 0.1670 Se
0.3722 0.3035 0.6670 Se
0.4439 0.9070 0.6965 Se
0.5561 0.0930 0.1965 Se
0.6278 0.6965 0.1670 Se
0.6965 0.6278 0.6670 Se
0.7699 0.2301 0.6308 Se
0.9070 0.4439 0.1965 Se
0.9763 0.0237 0.1970 Se